The following is a PBE calculation of a geometry-optimized Li8GaPt2 structure, from Alexandria via LeMat-Bulk.

Cell: 6.759 6.759 4.120 Å, 90.00 90.00 107.21°
Atoms (fractional coordinates):
Li1 0.157 0.157 0.000
Li2 0.185 0.464 0.500
Li3 0.247 0.753 0.000
Li4 0.464 0.185 0.500
Li5 0.536 0.815 0.500
Li6 0.753 0.247 0.000
Li7 0.815 0.536 0.500
Li8 0.843 0.843 0.000
Ga1 0.500 0.500 0.000
Pt1 0.122 0.878 0.500
Pt2 0.878 0.122 0.500

Energy of formation from the pure elements ... -346 kJ/mol of formula units
Total magnetic moment ... 0.00 μB per formula unit